Computed, not measured: an optimized crystal structure of AcNiSn at the PBE-GGA level of DFT.

DFT total energy = -4.989 eV/atom
offset from the most stable computed form = 0.0 meV per atom

Unit cell a=4.839 b=4.839 c=4.839 alpha=60.00 beta=60.00 gamma=60.00
Positions (direct):
1 Ac 0.000 0.000 0.000
2 Ni 0.750 0.750 0.750
3 Sn 0.500 0.500 0.500



Computed, not measured: an optimized crystal structure of HfGeIr at the PBE-GGA level of DFT.

DFT total energy = -8.460 eV/atom

Unit cell a=5.674 b=4.267 c=8.517 alpha=90.00 beta=90.00 gamma=90.00
Positions (direct):
1 Hf 0.133 0.250 0.130
2 Hf 0.367 0.750 0.630
3 Hf 0.633 0.250 0.370
4 Hf 0.867 0.750 0.870
5 Ge 0.217 0.250 0.809
6 Ge 0.283 0.750 0.309
7 Ge 0.717 0.250 0.691
8 Ge 0.783 0.750 0.191
9 Ir 0.145 0.250 0.452
10 Ir 0.355 0.750 0.952
11 Ir 0.645 0.250 0.048
12 Ir 0.855 0.750 0.548



Computed, not measured: an optimized crystal structure of GeB2Au at the PBE-GGA level of DFT.

DFT total energy = -3.741 eV/atom

Unit cell a=4.260 b=4.260 c=4.260 alpha=60.00 beta=60.00 gamma=60.00
Positions (direct):
1 Ge 0.000 0.000 0.000
2 B 0.500 0.500 0.500
3 B 0.750 0.750 0.750
4 Au 0.250 0.250 0.250



Computed, not measured: an optimized crystal structure of DyMgSc2In2 at the PBE-GGA level of DFT.

DFT total energy = -4.411 eV/atom

Unit cell a=5.099 b=5.099 c=6.334 alpha=90.00 beta=90.00 gamma=120.00
Positions (direct):
1 Dy 0.000 0.000 0.000
2 Mg 0.000 0.000 0.500
3 Sc 0.333 0.667 0.318
4 Sc 0.667 0.333 0.682
5 In 0.333 0.667 0.797
6 In 0.667 0.333 0.203



Computed, not measured: an optimized crystal structure of LuH5Se2O8 at the PBE-GGA level of DFT.

DFT total energy = -5.633 eV/atom

Unit cell a=6.429 b=6.747 c=15.799 alpha=90.00 beta=90.00 gamma=90.00
Positions (direct):
1 Lu 0.120 0.111 0.216
2 Lu 0.380 0.889 0.716
3 Lu 0.620 0.389 0.784
4 Lu 0.880 0.611 0.284
5 H 0.023 0.425 0.106
6 H 0.041 0.270 0.902
7 H 0.119 0.262 0.041
8 H 0.190 0.090 0.919
9 H 0.199 0.162 0.551
10 H 0.301 0.838 0.051
11 H 0.310 0.910 0.419
12 H 0.381 0.738 0.541
13 H 0.459 0.730 0.402
14 H 0.477 0.575 0.606
15 H 0.523 0.075 0.894
16 H 0.541 0.230 0.098
17 H 0.619 0.238 0.959
18 H 0.690 0.410 0.081
19 H 0.699 0.338 0.449
20 H 0.801 0.662 0.949
21 H 0.810 0.590 0.581
22 H 0.881 0.762 0.459
23 H 0.959 0.770 0.598
24 H 0.977 0.925 0.394
25 Se 0.139 0.319 0.423
26 Se 0.146 0.389 0.728
27 Se 0.354 0.611 0.228
28 Se 0.361 0.681 0.923
29 Se 0.639 0.181 0.577
30 Se 0.646 0.111 0.272
31 Se 0.854 0.889 0.772
32 Se 0.861 0.819 0.077
33 O 0.041 0.894 0.695
34 O 0.065 0.204 0.521
35 O 0.098 0.186 0.947
36 O 0.104 0.907 0.101
37 O 0.121 0.311 0.101
38 O 0.153 0.106 0.363
39 O 0.187 0.427 0.264
40 O 0.190 0.793 0.265
41 O 0.310 0.207 0.765
42 O 0.313 0.573 0.764
43 O 0.347 0.894 0.863
44 O 0.379 0.689 0.601
45 O 0.396 0.093 0.601
46 O 0.402 0.814 0.447
47 O 0.435 0.796 0.021
48 O 0.459 0.106 0.195
49 O 0.541 0.606 0.305
50 O 0.565 0.296 0.479
51 O 0.598 0.314 0.053
52 O 0.604 0.593 0.899
53 O 0.621 0.189 0.899
54 O 0.653 0.394 0.637
55 O 0.687 0.073 0.736
56 O 0.690 0.707 0.735
57 O 0.810 0.293 0.235
58 O 0.813 0.927 0.236
59 O 0.847 0.606 0.137
60 O 0.879 0.811 0.399
61 O 0.896 0.407 0.399
62 O 0.902 0.686 0.553
63 O 0.935 0.704 0.979
64 O 0.959 0.394 0.805



Computed, not measured: an optimized crystal structure of HoMg2 at the PBE-GGA level of DFT.

DFT total energy = -2.535 eV/atom

Unit cell a=5.337 b=10.463 c=5.593 alpha=90.00 beta=90.00 gamma=90.00
Positions (direct):
1 Ho 0.250 0.087 0.089
2 Ho 0.250 0.413 0.089
3 Ho 0.750 0.587 0.911
4 Ho 0.750 0.913 0.911
5 Mg 0.250 0.250 0.598
6 Mg 0.250 0.593 0.568
7 Mg 0.250 0.750 0.066
8 Mg 0.250 0.907 0.568
9 Mg 0.750 0.093 0.432
10 Mg 0.750 0.250 0.934
11 Mg 0.750 0.407 0.432
12 Mg 0.750 0.750 0.402



Computed, not measured: an optimized crystal structure of CsNiPt at the PBE-GGA level of DFT.

DFT total energy = -2.552 eV/atom
offset from the most stable computed form = 512.4 meV per atom

Unit cell a=4.779 b=4.779 c=4.779 alpha=60.00 beta=60.00 gamma=60.00
Positions (direct):
1 Cs 0.000 0.000 0.000
2 Ni 0.750 0.750 0.750
3 Pt 0.250 0.250 0.250



Computed, not measured: an optimized crystal structure of LuMgW at the PBE-GGA level of DFT.

DFT total energy = -4.844 eV/atom
offset from the most stable computed form = 332.7 meV per atom

Unit cell a=4.801 b=4.801 c=4.801 alpha=60.00 beta=60.00 gamma=60.00
Positions (direct):
1 Lu 0.000 0.000 0.000
2 Mg 0.750 0.750 0.750
3 W 0.250 0.250 0.250



Computed, not measured: an optimized crystal structure of Cs2HoIBrCl2 at the PBE-GGA level of DFT.

DFT total energy = -3.607 eV/atom

Unit cell a=10.151 b=10.151 c=10.151 alpha=149.25 beta=149.25 gamma=44.04
Positions (direct):
1 Cs 0.000 0.000 0.000
2 Cs 0.272 0.272 0.000
3 Ho 0.631 0.631 0.000
4 I 0.797 0.797 0.000
5 Br 0.478 0.478 0.000
6 Cl 0.133 0.633 0.500
7 Cl 0.633 0.133 0.500



Computed, not measured: an optimized crystal structure of TcBiNO at the PBE-GGA level of DFT.

DFT total energy = -7.163 eV/atom
offset from the most stable computed form = 0.0 meV per atom

Unit cell a=6.508 b=6.558 c=5.918 alpha=90.00 beta=90.00 gamma=90.00
Positions (direct):
1 Tc 0.112 0.024 0.000
2 Tc 0.388 0.024 0.500
3 Tc 0.612 0.976 0.000
4 Tc 0.888 0.976 0.500
5 Bi 0.182 0.611 0.860
6 Bi 0.318 0.611 0.360
7 Bi 0.682 0.389 0.860
8 Bi 0.818 0.389 0.360
9 N 0.139 0.028 0.669
10 N 0.361 0.028 0.169
11 N 0.639 0.972 0.669
12 N 0.861 0.972 0.169
13 O 0.028 0.331 0.025
14 O 0.472 0.331 0.525
15 O 0.528 0.669 0.025
16 O 0.972 0.669 0.525



Computed, not measured: an optimized crystal structure of AsWSe at the PBE-GGA level of DFT.

DFT total energy = -6.686 eV/atom

Unit cell a=6.301 b=6.301 c=6.301 alpha=90.00 beta=90.00 gamma=90.00
Positions (direct):
1 As 0.119 0.381 0.619
2 As 0.381 0.619 0.119
3 As 0.619 0.119 0.381
4 As 0.881 0.881 0.881
5 W 0.004 0.504 0.996
6 W 0.496 0.496 0.496
7 W 0.504 0.996 0.004
8 W 0.996 0.004 0.504
9 Se 0.115 0.115 0.115
10 Se 0.385 0.885 0.615
11 Se 0.615 0.385 0.885
12 Se 0.885 0.615 0.385



Computed, not measured: an optimized crystal structure of Cd8Ag5 at the PBE-GGA level of DFT.

DFT total energy = -1.709 eV/atom

Unit cell a=8.717 b=8.717 c=8.717 alpha=109.47 beta=109.47 gamma=109.47
Positions (direct):
1 Cd 0.000 0.000 0.779
2 Cd 0.000 0.281 0.652
3 Cd 0.000 0.652 0.281
4 Cd 0.000 0.779 0.000
5 Cd 0.221 0.221 0.221
6 Cd 0.281 0.000 0.652
7 Cd 0.281 0.652 0.000
8 Cd 0.348 0.348 0.629
9 Cd 0.348 0.629 0.348
10 Cd 0.371 0.719 0.719
11 Cd 0.629 0.348 0.348
12 Cd 0.652 0.000 0.281
13 Cd 0.652 0.281 0.000
14 Cd 0.719 0.371 0.719
15 Cd 0.719 0.719 0.371
16 Cd 0.779 0.000 0.000
17 Ag 0.000 0.000 0.345
18 Ag 0.000 0.345 0.000
19 Ag 0.000 0.356 0.356
20 Ag 0.000 0.644 0.644
21 Ag 0.345 0.000 0.000
22 Ag 0.356 0.000 0.356
23 Ag 0.356 0.356 0.000
24 Ag 0.644 0.000 0.644
25 Ag 0.644 0.644 0.000
26 Ag 0.655 0.655 0.655



Computed, not measured: an optimized crystal structure of HfCd2Mo at the PBE-GGA level of DFT.

DFT total energy = -5.235 eV/atom

Unit cell a=4.797 b=4.797 c=4.797 alpha=60.00 beta=60.00 gamma=60.00
Positions (direct):
1 Hf 0.000 0.000 0.000
2 Cd 0.500 0.500 0.500
3 Cd 0.750 0.750 0.750
4 Mo 0.250 0.250 0.250



Computed, not measured: an optimized crystal structure of TbGdSi2 at the PBE-GGA level of DFT.

DFT total energy = -5.861 eV/atom

Unit cell a=5.745 b=3.861 c=7.971 alpha=90.00 beta=90.04 gamma=90.00
Positions (direct):
1 Tb 0.115 0.250 0.321
2 Tb 0.885 0.750 0.679
3 Gd 0.385 0.250 0.821
4 Gd 0.615 0.750 0.179
5 Si 0.128 0.750 0.038
6 Si 0.371 0.750 0.538
7 Si 0.629 0.250 0.462
8 Si 0.872 0.250 0.962



Computed, not measured: an optimized crystal structure of GdTlFeS3 at the PBE-GGA level of DFT.

DFT total energy = -5.668 eV/atom
offset from the most stable computed form = 8.5 meV per atom

Unit cell a=10.562 b=3.986 c=14.373 alpha=90.00 beta=90.00 gamma=90.00
Positions (direct):
1 Gd 0.008 0.250 0.248
2 Gd 0.492 0.750 0.748
3 Gd 0.508 0.250 0.252
4 Gd 0.992 0.750 0.752
5 Tl 0.238 0.750 0.500
6 Tl 0.262 0.250 0.000
7 Tl 0.738 0.750 0.000
8 Tl 0.762 0.250 0.500
9 Fe 0.241 0.250 0.721
10 Fe 0.259 0.750 0.221
11 Fe 0.741 0.250 0.779
12 Fe 0.759 0.750 0.279
13 S 0.064 0.250 0.630
14 S 0.083 0.750 0.127
15 S 0.242 0.750 0.810
16 S 0.258 0.250 0.310
17 S 0.417 0.250 0.627
18 S 0.436 0.750 0.130
19 S 0.564 0.250 0.870
20 S 0.583 0.750 0.373
21 S 0.742 0.750 0.690
22 S 0.758 0.250 0.190
23 S 0.917 0.250 0.873
24 S 0.936 0.750 0.370



Computed, not measured: an optimized crystal structure of Cs2PdSe2S at the PBE-GGA level of DFT.

DFT total energy = -3.584 eV/atom

Unit cell a=7.687 b=7.687 c=10.172 alpha=113.82 beta=113.82 gamma=56.54
Positions (direct):
1 Cs 0.082 0.082 0.354
2 Cs 0.308 0.308 0.167
3 Cs 0.692 0.692 0.833
4 Cs 0.918 0.918 0.646
5 Pd 0.412 0.412 0.857
6 Pd 0.588 0.588 0.143
7 Se 0.211 0.211 0.752
8 Se 0.378 0.378 0.603
9 Se 0.622 0.622 0.397
10 Se 0.789 0.789 0.248
11 S 0.248 0.752 0.000
12 S 0.752 0.248 0.000



Computed, not measured: an optimized crystal structure of HfBPt at the PBE-GGA level of DFT.

DFT total energy = -7.613 eV/atom

Unit cell a=4.166 b=4.166 c=4.166 alpha=60.00 beta=60.00 gamma=60.00
Positions (direct):
1 Hf 0.000 0.000 0.000
2 B 0.500 0.500 0.500
3 Pt 0.750 0.750 0.750



Computed, not measured: an optimized crystal structure of PrGeTe at the PBE-GGA level of DFT.

DFT total energy = -4.546 eV/atom

Unit cell a=5.119 b=5.119 c=5.119 alpha=60.00 beta=60.00 gamma=60.00
Positions (direct):
1 Pr 0.000 0.000 0.000
2 Ge 0.500 0.500 0.500
3 Te 0.750 0.750 0.750



Computed, not measured: an optimized crystal structure of CuAg3 at the PBE-GGA level of DFT.

DFT total energy = -2.982 eV/atom

Unit cell a=4.946 b=6.376 c=8.582 alpha=98.51 beta=95.51 gamma=97.23
Positions (direct):
1 Cu 0.000 0.000 0.000
2 Cu 0.241 0.696 0.822
3 Cu 0.499 0.118 0.883
4 Cu 0.756 0.300 0.178
5 Ag 0.004 0.743 0.247
6 Ag 0.243 0.183 0.308
7 Ag 0.249 0.932 0.574
8 Ag 0.259 0.424 0.060
9 Ag 0.489 0.373 0.637
10 Ag 0.501 0.883 0.113
11 Ag 0.507 0.618 0.373
12 Ag 0.743 0.812 0.704
13 Ag 0.745 0.062 0.436
14 Ag 0.753 0.557 0.943
15 Ag 0.995 0.244 0.761
16 Ag 0.997 0.498 0.506



Computed, not measured: an optimized crystal structure of ScBeZnAs at the PBE-GGA level of DFT.

DFT total energy = -3.948 eV/atom
offset from the most stable computed form = 25.9 meV per atom

Unit cell a=4.522 b=4.522 c=4.522 alpha=60.00 beta=60.00 gamma=60.00
Positions (direct):
1 Sc 0.000 0.000 0.000
2 Be 0.250 0.250 0.250
3 Zn 0.500 0.500 0.500
4 As 0.750 0.750 0.750